1.
DFT (PBE-GGA) results for an optimized crystal structure of KNaAgPb.

Properties
- Energy: -2.26 eV per atom
- ΔE_f: -0.07 eV/f.u.
- Magnetization: 0.00 Bohr magnetons per cell

Cell: 7.6744 7.6744 7.6744 Å, 90.00 90.00 90.00°
Space group F-43m (No. 216)
Inequivalent atoms, fractional coordinates:
K1 0.0000 0.0000 0.0000
Na1 0.2500 0.2500 0.7500
Ag1 0.2500 0.2500 0.2500
Pb1 0.0000 0.0000 0.5000



2.
DFT (PBE-GGA) results for an optimized crystal structure of K2NaAgPb.

Properties
- Energy: -1.94 eV per atom
- ΔE_f: 0.37 eV/f.u.
- Magnetization: 0.00 Bohr magnetons per cell

Cell: 6.4430 6.4430 5.3876 Å, 90.00 90.00 90.00°
Space group P4/mmm (No. 123)
Inequivalent atoms, fractional coordinates:
K1 0.0000 0.5000 0.0000
Na1 0.0000 0.0000 0.5000
Ag1 0.5000 0.5000 0.0000
Pb1 0.5000 0.5000 0.5000



Repeat the second record exactly.
DFT (PBE-GGA) results for an optimized crystal structure of K2NaAgPb.

Properties
- Energy: -1.94 eV per atom
- ΔE_f: 0.37 eV/f.u.
- Magnetization: 0.00 Bohr magnetons per cell

Cell: 6.4430 6.4430 5.3876 Å, 90.00 90.00 90.00°
Space group P4/mmm (No. 123)
Inequivalent atoms, fractional coordinates:
K1 0.0000 0.5000 0.0000
Na1 0.0000 0.0000 0.5000
Ag1 0.5000 0.5000 0.0000
Pb1 0.5000 0.5000 0.5000